CaV2Zn2Si2O10 after structural relaxation. Source: Alexandria, functional GGA+U.

Properties
Symmetry: P1 (1)
Energy above the lowest structure with this stoichiometry: 0.0097 eV/atom
Density of states at the Fermi level: 0.00 states/eV/cell
Calculated volume: 11.77 Å³/atom

Cell: 5.3758 5.5765 7.5445 Å, 105.17 108.73 98.45°
Last column: nearest neighbours and their distance in Å.
Positions (direct):
1 Ca 0.0000 0.0000 0.0000  6 O 2.28-2.46
2 V 0.2618 0.4373 0.8634  5 O 1.98-2.19
3 V 0.3110 0.4467 0.3902  6 O 1.96-2.15
4 Zn 0.5326 0.0820 0.5714  4 O 1.96-2.08
5 Zn 0.8213 0.5507 0.1652  4 O 2.00-2.16
6 Si 0.6060 0.0685 0.1612  4 O 1.62-1.67
7 Si 0.9687 0.7872 0.5916  4 O 1.63-1.69
8 O 0.0364 0.6637 0.7703  1 Si 1.63
9 O 0.1331 0.4601 0.0975  1 Zn 2.00, 2 V 2.08-2.13
10 O 0.2075 0.7897 0.4992  1 Si 1.65
11 O 0.4022 0.3887 0.6456  2 V 1.96-1.99, 1 Zn 1.96
12 O 0.4037 0.0875 0.2819  1 Si 1.63
13 O 0.5011 0.2058 0.9877  1 Si 1.67
14 O 0.6064 0.7711 0.0410  1 Si 1.67
15 O 0.6789 0.6364 0.4064  1 Si 1.64
16 O 0.9224 0.2138 0.2923  1 Si 1.62
17 O 0.9259 0.0769 0.6961  1 Si 1.69

***

In2SnMoO8 after structural relaxation. Source: Alexandria, functional GGA+U.

Properties
Symmetry: Cmmm (65)
Total DFT energy (no corrections): -6.211 eV per atom
Calculated volume: 12.87 Å³/atom

Cell: 4.8861 4.8861 6.4773 Å, 90.00 90.00 92.44°
Last column: nearest neighbours and their distance in Å.
Positions (direct):
1 In 0.0000 0.0000 0.2485  6 O 2.13-2.24
2 In 0.0000 0.0000 0.7515  6 O 2.13-2.24
3 Sn 0.5000 0.5000 0.5000  6 O 2.00-2.18
4 Mo 0.5000 0.5000 0.0000  6 O 1.95-1.96
5 O 0.2038 0.2038 0.5000  1 Sn 2.00, 2 In 2.13
6 O 0.2123 0.2123 0.0000  1 Mo 1.95, 2 In 2.16
7 O 0.3175 0.6825 0.2288  1 Mo 1.96, 1 Sn 2.18
8 O 0.3175 0.6825 0.7712  1 Mo 1.96, 1 Sn 2.18
9 O 0.6825 0.3175 0.2288  1 Mo 1.96, 1 Sn 2.18
10 O 0.6825 0.3175 0.7712  1 Mo 1.96, 1 Sn 2.18
11 O 0.7877 0.7877 0.0000  1 Mo 1.95, 2 In 2.16
12 O 0.7962 0.7962 0.5000  1 Sn 2.00, 2 In 2.13